Record 1
A plane-wave DFT calculation with PBE was carried out for a relaxed NpSCl crystal.

Its energy relative to the elements, uncorrected is -1435 meV per atom. The calculation puts the calculated density at 6.93 g cm⁻³. As for the volume: 24.332 Å³ per atom. The value obtained for the magnetization is 4.0 Bohr magnetons per cell.

a = 4.691 Å, b = 4.691 Å, c = 4.691 Å
α = 60.00°, β = 60.00°, γ = 60.00°
Fractional coordinates of all 3 atoms:
Cl: 0.000 0.000 0.000
Np: 0.250 0.250 0.250
S: 0.500 0.500 0.500

Record 2
A plane-wave DFT calculation with PBE was carried out for a relaxed Tb7MgIn4 crystal.

For the formation energy, the calculation gives -0.13 eV per atom. The calculation puts the calculated density at 7.59 g cm⁻³. As for the volume: 29.106 Å³ per atom. The value obtained for the magnetization is 0.0 Bohr magnetons per cell.

a = 5.791 Å, b = 9.118 Å, c = 7.858 Å
α = 67.74°, β = 68.38°, γ = 71.49°
Fractional coordinates of all 12 atoms:
In: 0.540 0.309 0.611
In: 0.460 0.691 0.389
In: 0.320 0.343 0.016
In: 0.680 0.657 0.984
Tb: 0.075 0.587 0.263
Tb: 0.246 0.719 0.790
Tb: 0.500 0.000 0.000
Tb: 0.754 0.281 0.210
Tb: 0.803 0.875 0.518
Tb: 0.925 0.413 0.737
Tb: 0.197 0.125 0.482
Mg: 0.000 0.000 0.000

Record 3
A plane-wave DFT calculation with PBE was carried out for a relaxed Li10CaPd2 crystal.

For the formation energy, the calculation gives -0.18 eV per atom. The calculation puts the calculated density at 2.15 g cm⁻³. As for the volume: 19.128 Å³ per atom. The value obtained for the magnetization is 0.0 Bohr magnetons per cell.

a = 5.596 Å, b = 6.947 Å, c = 7.527 Å
α = 81.39°, β = 68.18°, γ = 66.25°
Fractional coordinates of all 13 atoms:
Li: 0.973 0.374 0.680
Li: 0.500 0.000 0.500
Li: 0.347 0.626 0.680
Li: 0.027 0.626 0.320
Li: 0.484 0.229 0.802
Li: 0.000 0.000 0.500
Li: 0.286 0.229 0.198
Li: 0.653 0.374 0.320
Li: 0.714 0.771 0.802
Li: 0.516 0.771 0.198
Pd: 0.500 0.500 0.000
Pd: 0.000 0.500 0.000
Ca: 0.000 0.000 0.000

Record 4
A plane-wave DFT calculation with PBE was carried out for a relaxed Sm2Al4Pd3Rh crystal.

For the formation energy, the calculation gives -0.87 eV per atom. The calculation puts the calculated density at 7.32 g cm⁻³. As for the volume: 18.854 Å³ per atom. The value obtained for the magnetization is 0.0 Bohr magnetons per cell.

a = 4.309 Å, b = 4.309 Å, c = 10.156 Å
α = 90.00°, β = 90.00°, γ = 90.00°
Fractional coordinates of all 10 atoms:
Al: 0.500 0.500 0.000
Al: 0.500 0.000 0.624
Al: 0.000 0.500 0.376
Al: 0.000 0.000 0.000
Pd: 0.500 0.000 0.868
Pd: 0.000 0.500 0.132
Pd: 0.000 0.000 0.500
Sm: 0.000 0.500 0.746
Sm: 0.500 0.000 0.254
Rh: 0.500 0.500 0.500

Record 5
A plane-wave DFT calculation with PBE was carried out for a relaxed Sc7As2C2 crystal.

For the formation energy, the calculation gives -0.57 eV per atom. The calculation puts the calculated density at 4.16 g cm⁻³. As for the volume: 17.735 Å³ per atom. The value obtained for the magnetization is 0.0 Bohr magnetons per cell.

a = 3.433 Å, b = 7.960 Å, c = 7.960 Å
α = 68.30°, β = 77.55°, γ = 77.55°
Fractional coordinates of all 11 atoms:
Sc: 0.367 0.749 0.517
Sc: 0.806 0.103 0.285
Sc: 0.857 0.374 0.912
Sc: 0.143 0.088 0.626
Sc: 0.500 0.008 0.992
Sc: 0.633 0.483 0.251
Sc: 0.194 0.715 0.897
C: 0.732 0.866 0.670
C: 0.268 0.330 0.134
As: 0.500 0.367 0.633
As: 0.000 0.769 0.231

Record 6
A plane-wave DFT calculation with PBE was carried out for a relaxed Pr8CSe3S4 crystal.

Its energy relative to the elements, uncorrected is -1725 meV per atom. The calculation puts the calculated density at 6.19 g cm⁻³. As for the volume: 25.219 Å³ per atom. The value obtained for the magnetization is 0.0 Bohr magnetons per cell.

a = 8.332 Å, b = 8.258 Å, c = 8.332 Å
α = 120.30°, β = 120.00°, γ = 90.00°
Fractional coordinates of all 16 atoms:
Se: 0.500 0.500 0.000
Se: 0.500 0.500 0.500
Se: 0.000 0.500 0.500
Pr: 0.231 0.740 0.461
Pr: 0.221 0.261 0.991
Pr: 0.244 0.232 0.488
Pr: 0.756 0.768 0.512
Pr: 0.779 0.739 0.009
Pr: 0.230 0.739 0.009
Pr: 0.770 0.261 0.991
Pr: 0.769 0.260 0.539
S: 0.500 0.000 0.000
S: 0.500 0.000 0.500
S: 0.000 0.000 0.000
S: 0.000 0.000 0.500
C: 0.000 0.500 0.000

Record 7
A plane-wave DFT calculation with PBE was carried out for a relaxed TcNiBr2 crystal.

As for the excess energy over the best structure of this formula in the dataset: 340 meV per atom. Its energy relative to the elements, uncorrected is 504 meV per atom. The calculation puts the calculated density at 5.54 g cm⁻³. As for the volume: 23.716 Å³ per atom. The value obtained for the magnetization is 2.9 Bohr magnetons per cell.

a = 7.892 Å, b = 7.892 Å, c = 7.892 Å
α = 154.63°, β = 153.18°, γ = 37.25°
Fractional coordinates of all 4 atoms:
Br: 0.987 0.987 0.000
Br: 0.749 0.249 0.500
Ni: 0.437 0.437 0.000
Tc: 0.326 0.826 0.500

Record 8
A plane-wave DFT calculation with PBE was carried out for a relaxed Sc7Sn4H crystal.

The calculation puts the calculated density at 4.58 g cm⁻³. As for the volume: 23.879 Å³ per atom. The value obtained for the total DFT energy (no corrections) is -0.2102 Ha/atom. The value obtained for the magnetization is 2.0 Bohr magnetons per cell.

a = 4.736 Å, b = 8.350 Å, c = 7.994 Å
α = 77.55°, β = 72.77°, γ = 73.52°
Fractional coordinates of all 12 atoms:
Sn: 0.720 0.651 0.908
Sn: 0.280 0.349 0.092
Sn: 0.579 0.209 0.633
Sn: 0.421 0.791 0.367
Sc: 0.932 0.260 0.875
Sc: 0.213 0.144 0.430
Sc: 0.364 0.558 0.715
Sc: 0.500 0.000 0.000
Sc: 0.068 0.740 0.125
Sc: 0.787 0.856 0.570
Sc: 0.636 0.442 0.285
H: 0.000 0.000 0.000

Record 9
A plane-wave DFT calculation with PBE was carried out for a relaxed Sm11Zn4Cd9 crystal.

For the formation energy, the calculation gives -0.30 eV per atom. The calculation puts the calculated density at 7.75 g cm⁻³. As for the volume: 26.141 Å³ per atom. The value obtained for the magnetization is 1.8 Bohr magnetons per cell.

a = 3.747 Å, b = 13.483 Å, c = 13.483 Å
α = 112.94°, β = 90.00°, γ = 90.00°
Fractional coordinates of all 24 atoms:
Cd: 0.500 0.786 0.932
Cd: 0.500 0.932 0.786
Cd: 0.500 0.155 0.633
Cd: 0.500 0.845 0.367
Cd: 0.500 0.214 0.068
Cd: 0.500 0.633 0.155
Cd: 0.500 0.500 0.500
Cd: 0.500 0.068 0.214
Cd: 0.500 0.367 0.845
Sm: 0.000 0.585 0.927
Sm: 0.000 0.290 0.290
Sm: 0.000 0.000 0.000
Sm: 0.000 0.073 0.415
Sm: 0.000 0.710 0.710
Sm: 0.000 0.163 0.837
Sm: 0.000 0.415 0.073
Sm: 0.000 0.637 0.363
Sm: 0.000 0.837 0.163
Sm: 0.000 0.927 0.585
Sm: 0.000 0.363 0.637
Zn: 0.500 0.741 0.549
Zn: 0.500 0.259 0.451
Zn: 0.500 0.549 0.741
Zn: 0.500 0.451 0.259

Record 10
A plane-wave DFT calculation with PBE was carried out for a relaxed RbLiNbPt2 crystal.

For the formation energy, the calculation gives 0.84 eV per atom. The calculation puts the calculated density at 9.78 g cm⁻³. As for the volume: 19.548 Å³ per atom. The value obtained for the magnetization is 2.7 Bohr magnetons per cell.

a = 4.696 Å, b = 4.432 Å, c = 4.696 Å
α = 90.00°, β = 90.00°, γ = 90.00°
Fractional coordinates of all 5 atoms:
Pt: 0.000 0.000 0.500
Pt: 0.500 0.000 0.000
Rb: 0.000 0.500 0.000
Nb: 0.500 0.500 0.500
Li: 0.000 0.000 0.000

Record 11
A plane-wave DFT calculation with PBE was carried out for a relaxed YReNi2 crystal.

For the formation energy, the calculation gives -0.09 eV per atom. As for the excess energy over the best structure of this formula in the dataset: 0 meV per atom. The calculation puts the calculated density at 9.25 g cm⁻³. As for the volume: 17.606 Å³ per atom. The value obtained for the magnetization is 0.3 Bohr magnetons per cell.

a = 4.131 Å, b = 4.131 Å, c = 5.328 Å
α = 67.20°, β = 67.20°, γ = 60.01°
Fractional coordinates of all 4 atoms:
Ni: 0.051 0.051 0.848
Ni: 0.449 0.449 0.652
Re: 0.750 0.750 0.750
Y: 0.250 0.250 0.250

Record 12
A plane-wave DFT calculation with PBE was carried out for a relaxed TaN crystal.

Its energy relative to the elements, uncorrected is -583 meV per atom. The calculation puts the calculated density at 9.90 g cm⁻³. As for the volume: 16.348 Å³ per atom. The value obtained for the magnetization is 0.0 Bohr magnetons per cell.

a = 4.835 Å, b = 11.345 Å, c = 9.536 Å
α = 90.00°, β = 90.00°, γ = 90.00°
Fractional coordinates of all 32 atoms:
N: 0.250 0.372 0.250
N: 0.000 0.122 0.500
N: 0.500 0.122 0.000
N: 0.250 0.128 0.250
N: 0.750 0.872 0.250
N: 0.500 0.878 0.000
N: 0.500 0.622 0.500
N: 0.250 0.628 0.750
N: 0.750 0.128 0.750
N: 0.000 0.622 0.000
N: 0.500 0.378 0.500
N: 0.250 0.872 0.750
N: 0.750 0.628 0.250
N: 0.000 0.378 0.000
N: 0.000 0.878 0.500
N: 0.750 0.372 0.750
Ta: 0.750 0.750 0.415
Ta: 0.250 0.750 0.585
Ta: 0.750 0.250 0.585
Ta: 0.750 0.750 0.085
Ta: 0.500 0.500 0.335
Ta: 0.750 0.250 0.915
Ta: 0.500 0.500 0.665
Ta: 0.250 0.250 0.085
Ta: 0.250 0.250 0.415
Ta: 0.500 0.000 0.165
Ta: 0.000 0.500 0.165
Ta: 0.500 0.000 0.835
Ta: 0.000 0.000 0.335
Ta: 0.000 0.500 0.835
Ta: 0.000 0.000 0.665
Ta: 0.250 0.750 0.915

Look up the calculated density of the fourth one. 7.32 g cm⁻³